[1]
Computed, not measured: crystalline TbSm2DyTm2 at its relaxed geometry at the PBE-GGA level of DFT. Values from VASP.

Quantum ESPRESSO input file:
```
&SYSTEM
  ibrav = 0, nat = 12, ntyp = 4
/
ATOMIC_SPECIES
Sm 150.36 Sm.upf
Tb 158.93 Tb.upf
Tm 168.93 Tm.upf
Dy 162.50 Dy.upf
CELL_PARAMETERS angstrom
3.3665 0.0000 0.0000
0.0000 6.6400 0.0000
0.0000 0.0000 17.4620
ATOMIC_POSITIONS crystal
Sm 0.5000 0.2367 0.3479
Tb 0.5000 0.5000 0.5000
Tm 0.0000 0.2408 0.1759
Tm 0.0000 0.7592 0.8241
Sm 0.5000 0.7633 0.6521
Sm 0.0000 0.7367 0.1521
Tm 0.5000 0.7408 0.3241
Dy 0.0000 0.0000 0.5000
Dy 0.5000 0.5000 0.0000
Sm 0.0000 0.2633 0.8479
Tm 0.5000 0.2592 0.6759
Tb 0.0000 0.0000 0.0000
```

Calculated values
- Energy of formation: 1.628 eV per formula unit
- Raw total energy: -4.331 eV per atom
- Symmetry: Pnnm

=====

[2]
Computed, not measured: crystalline HPt2Au at its relaxed geometry at the PBE-GGA level of DFT. Values from VASP.

Quantum ESPRESSO input file:
```
&SYSTEM
  ibrav = 0, nat = 4, ntyp = 3
/
ATOMIC_SPECIES
Au 196.97 Au.upf
Pt 195.08 Pt.upf
H 1.01 H.upf
CELL_PARAMETERS angstrom
2.8057 -0.2317 0.0000
-1.2683 2.5133 0.0000
0.0000 0.0000 7.8812
ATOMIC_POSITIONS crystal
Au 0.5000 0.5000 0.7500
Pt 0.0000 0.0000 0.4302
Pt 0.0000 0.0000 0.0698
H 0.5000 0.5000 0.2500
```

Calculated values
- Raw total energy: -4.588 eV per atom
- Symmetry: Cmmm